No. 1
Crystalline TbPm3DyTh at its relaxed geometry. Source: the Alexandria database, functional PBE.

Cell lengths 5.103, 8.064, 10.840 Å; angles 116.65, 90.00, 90.00 degrees
Atoms (fractional coordinates):
1 Pm 0.250 0.132 0.955
2 Th 0.250 0.623 0.122
3 Pm 0.750 0.383 0.206
4 Pm 0.750 0.372 0.543
5 Th 0.750 0.377 0.878
6 Tb 0.750 0.879 0.707
7 Tb 0.250 0.121 0.293
8 Pm 0.750 0.868 0.045
9 Dy 0.750 0.874 0.372
10 Pm 0.250 0.628 0.457
11 Pm 0.250 0.617 0.794
12 Dy 0.250 0.126 0.628

Values from the calculation:
Final energy in eV per cell: -61.44
Density of states at the Fermi level in states/eV per atom: 1.455

=====

No. 2
Crystalline Tb4PmDy2Th at its relaxed geometry. Source: the Alexandria database, functional PBE.

Cell lengths 9.498, 9.498, 11.781 Å; angles 128.33, 128.33, 88.56 degrees
Atoms (fractional coordinates):
1 Dy 0.500 0.000 0.500
2 Th 0.000 0.500 0.000
3 Tb 0.751 0.753 0.500
4 Tb 0.242 0.748 0.495
5 Tb 0.253 0.251 0.000
6 Pm 0.500 0.500 0.500
7 Tb 0.752 0.258 0.005
8 Tb 0.758 0.252 0.505
9 Tb 0.747 0.749 0.000
10 Tb 0.248 0.742 0.995
11 Dy 0.000 0.000 0.500
12 Dy 0.500 0.000 0.000
13 Th 0.000 0.500 0.500
14 Pm 0.000 0.000 0.000
15 Tb 0.249 0.247 0.500
16 Dy 0.500 0.500 0.000

Values from the calculation:
Final energy in eV per cell: -72.82
Density of states at the Fermi level in states/eV per atom: 2.326

=====

No. 3
Crystalline Tb3Pm2Dy6Th at its relaxed geometry. Source: the Alexandria database, functional PBE.

Cell lengths 6.188, 6.188, 11.799 Å; angles 95.02, 95.02, 119.95 degrees
Atoms (fractional coordinates):
1 Dy 0.755 0.755 0.250
2 Dy 0.084 0.414 0.250
3 Dy 0.586 0.916 0.750
4 Dy 0.414 0.084 0.250
5 Pm 0.333 0.667 0.000
6 Dy 0.916 0.586 0.750
7 Tb 0.167 0.833 0.500
8 Th 0.000 0.000 0.000
9 Pm 0.667 0.333 0.000
10 Dy 0.245 0.245 0.750
11 Tb 0.500 0.500 0.500
12 Tb 0.833 0.167 0.500

Values from the calculation:
Final energy in eV per cell: -58.11
Density of states at the Fermi level in states/eV per atom: 1.284

=====

No. 4
Crystalline Tb2Pm4DyTh at its relaxed geometry. Source: the Alexandria database, functional PBE.

Cell lengths 6.039, 6.034, 9.456 Å; angles 50.40, 90.00, 90.00 degrees
Atoms (fractional coordinates):
1 Pm 0.000 0.253 0.247
2 Pm 0.500 0.752 0.248
3 Pm 0.000 0.747 0.753
4 Tb 0.500 0.000 0.500
5 Dy 0.000 0.500 0.500
6 Tb 0.000 0.000 0.000
7 Th 0.500 0.500 0.000
8 Pm 0.500 0.248 0.752

Values from the calculation:
Final energy in eV per cell: -39.18
Density of states at the Fermi level in states/eV per atom: 2.000

=====

No. 5
Crystalline Tb6Pm3DyTh2 at its relaxed geometry. Source: the Alexandria database, functional PBE.

Cell lengths 6.213, 6.213, 11.846 Å; angles 95.03, 95.03, 119.96 degrees
Atoms (fractional coordinates):
1 Th 0.667 0.333 0.000
2 Pm 0.167 0.833 0.500
3 Tb 0.581 0.918 0.755
4 Tb 0.255 0.255 0.754
5 Tb 0.918 0.581 0.755
6 Pm 0.833 0.167 0.500
7 Tb 0.745 0.745 0.246
8 Dy 0.000 0.000 0.000
9 Tb 0.082 0.419 0.245
10 Pm 0.500 0.500 0.500
11 Th 0.333 0.667 0.000
12 Tb 0.419 0.082 0.245

Values from the calculation:
Final energy in eV per cell: -61.23
Density of states at the Fermi level in states/eV per atom: 1.346

=====

No. 6
Crystalline Tb3Pm6Dy2Th at its relaxed geometry. Source: the Alexandria database, functional PBE.

Cell lengths 6.242, 6.242, 11.960 Å; angles 95.00, 95.00, 119.92 degrees
Atoms (fractional coordinates):
1 Pm 0.916 0.586 0.751
2 Th 0.000 0.000 0.000
3 Tb 0.833 0.167 0.500
4 Pm 0.586 0.916 0.751
5 Pm 0.084 0.414 0.249
6 Dy 0.667 0.333 0.000
7 Dy 0.333 0.667 0.000
8 Pm 0.414 0.084 0.249
9 Tb 0.167 0.833 0.500
10 Tb 0.500 0.500 0.500
11 Pm 0.246 0.246 0.751
12 Pm 0.754 0.754 0.249

Values from the calculation:
Final energy in eV per cell: -58.67
Density of states at the Fermi level in states/eV per atom: 1.387

=====

No. 7
Crystalline Tb5PmDy2Th at its relaxed geometry. Source: the Alexandria database, functional PBE.

Cell lengths 5.733, 11.127, 9.769 Å; angles 90.00, 90.00, 104.93 degrees
Atoms (fractional coordinates):
1 Pm 0.190 0.379 0.019
2 Tb 0.986 0.971 0.519
3 Th 0.407 0.815 0.422
4 Th 0.593 0.185 0.922
5 Tb 0.400 0.800 0.042
6 Tb 0.273 0.547 0.322
7 Tb 0.014 0.029 0.019
8 Tb 0.304 0.608 0.713
9 Tb 0.696 0.392 0.213
10 Pm 0.810 0.621 0.519
11 Tb 0.532 0.064 0.241
12 Tb 0.468 0.936 0.741
13 Dy 0.873 0.745 0.214
14 Tb 0.600 0.200 0.542
15 Dy 0.883 0.767 0.833
16 Dy 0.127 0.255 0.714
17 Dy 0.117 0.233 0.333
18 Tb 0.727 0.453 0.822

Values from the calculation:
Final energy in eV per cell: -86.19
Density of states at the Fermi level in states/eV per atom: 1.258

=====

No. 8
Crystalline Tb2Pm2Dy4Th at its relaxed geometry. Source: the Alexandria database, functional PBE.

Cell lengths 3.609, 9.539, 9.565 Å; angles 115.30, 90.00, 100.90 degrees
Atoms (fractional coordinates):
1 Dy 0.816 0.631 0.666
2 Pm 0.336 0.672 0.997
3 Th 0.000 0.000 0.000
4 Tb 0.853 0.706 0.336
5 Dy 0.518 0.037 0.329
6 Tb 0.147 0.294 0.664
7 Dy 0.482 0.963 0.671
8 Pm 0.664 0.328 0.003
9 Dy 0.184 0.369 0.334

Values from the calculation:
Final energy in eV per cell: -44.58
Density of states at the Fermi level in states/eV per atom: 1.393

=====

No. 9
Crystalline Tb2PmDyTh at its relaxed geometry. Source: the Alexandria database, functional PBE.

Cell lengths 6.932, 8.578, 7.336 Å; angles 125.78, 90.00, 90.00 degrees
Atoms (fractional coordinates):
1 Tb 0.000 0.683 0.000
2 Th 0.250 0.001 0.003
3 Th 0.750 0.999 0.997
4 Dy 0.250 0.274 0.549
5 Pm 0.250 0.732 0.464
6 Tb 0.000 0.317 0.000
7 Pm 0.750 0.268 0.536
8 Dy 0.750 0.726 0.451
9 Tb 0.500 0.317 0.000
10 Tb 0.500 0.683 0.000

Values from the calculation:
Final energy in eV per cell: -47.71
Density of states at the Fermi level in states/eV per atom: 1.560

=====

No. 10
Crystalline TbPm5Dy2Th at its relaxed geometry. Source: the Alexandria database, functional PBE.

Cell lengths 5.665, 10.612, 10.571 Å; angles 90.00, 90.00, 105.48 degrees
Atoms (fractional coordinates):
1 Tb 0.593 0.186 0.955
2 Dy 0.884 0.769 0.815
3 Pm 0.387 0.775 0.026
4 Pm 0.294 0.588 0.704
5 Dy 0.113 0.225 0.736
6 Tb 0.407 0.814 0.455
7 Dy 0.116 0.231 0.315
8 Th 0.199 0.398 0.012
9 Pm 0.480 0.960 0.744
10 Pm 0.985 0.970 0.520
11 Pm 0.277 0.553 0.313
12 Dy 0.887 0.775 0.236
13 Pm 0.706 0.412 0.204
14 Pm 0.015 0.030 0.020
15 Pm 0.723 0.447 0.813
16 Th 0.801 0.602 0.512
17 Pm 0.613 0.225 0.526
18 Pm 0.520 0.040 0.244

Values from the calculation:
Final energy in eV per cell: -87.21
Density of states at the Fermi level in states/eV per atom: 1.522

=====

No. 11
Crystalline Tb6PmDy2Th at its relaxed geometry. Source: the Alexandria database, functional PBE.

Cell lengths 9.668, 8.767, 8.767 Å; angles 117.28, 94.20, 94.20 degrees
Atoms (fractional coordinates):
1 Tb 0.059 0.120 0.746
2 Tb 0.441 0.254 0.880
3 Dy 0.454 0.807 0.706
4 Tb 0.619 0.493 0.702
5 Pm 0.750 0.023 0.977
6 Pm 0.250 0.977 0.023
7 Tb 0.381 0.507 0.298
8 Dy 0.046 0.294 0.193
9 Tb 0.816 0.428 0.977
10 Tb 0.316 0.977 0.428
11 Tb 0.559 0.746 0.120
12 Tb 0.941 0.880 0.254
13 Tb 0.119 0.702 0.493
14 Dy 0.954 0.706 0.807
15 Th 0.250 0.406 0.594
16 Tb 0.184 0.572 0.023
17 Tb 0.684 0.023 0.572
18 Th 0.750 0.594 0.406
19 Tb 0.881 0.298 0.507
20 Dy 0.546 0.193 0.294

Values from the calculation:
Final energy in eV per cell: -95.41
Density of states at the Fermi level in states/eV per atom: 1.522

=====

No. 12
Crystalline Tb5PmDyTh2 at its relaxed geometry. Source: the Alexandria database, functional PBE.

Cell lengths 8.852, 8.852, 9.918 Å; angles 116.50, 116.50, 90.00 degrees
Atoms (fractional coordinates):
1 Pm 0.250 0.250 0.500
2 Tb 0.153 0.071 0.724
3 Pm 0.750 0.750 0.500
4 Th 0.381 0.881 0.000
5 Tb 0.653 0.153 0.724
6 Tb 0.000 0.000 0.000
7 Tb 0.347 0.847 0.276
8 Th 0.619 0.119 0.000
9 Dy 0.750 0.250 0.500
10 Tb 0.847 0.929 0.276
11 Th 0.881 0.619 0.000
12 Tb 0.429 0.347 0.276
13 Th 0.119 0.381 0.000
14 Tb 0.071 0.571 0.724
15 Dy 0.250 0.750 0.500
16 Tb 0.571 0.653 0.724
17 Tb 0.929 0.429 0.276
18 Tb 0.500 0.500 0.000

Values from the calculation:
Final energy in eV per cell: -88.69
Density of states at the Fermi level in states/eV per atom: 1.412

=====

No. 13
Crystalline Tb2PmDy2Th2 at its relaxed geometry. Source: the Alexandria database, functional PBE.

Cell lengths 3.442, 5.971, 11.921 Å; angles 80.12, 90.00, 106.75 degrees
Atoms (fractional coordinates):
1 Tb 0.349 0.698 0.074
2 Dy 0.593 0.187 0.224
3 Dy 0.407 0.813 0.776
4 Pm 0.000 0.000 0.500
5 Th 0.293 0.585 0.364
6 Th 0.707 0.415 0.636
7 Tb 0.651 0.302 0.926

Values from the calculation:
Final energy in eV per cell: -36.79
Density of states at the Fermi level in states/eV per atom: 1.733

=====

No. 14
Crystalline Tb2PmDy6Th at its relaxed geometry. Source: the Alexandria database, functional PBE.

Cell lengths 9.683, 8.745, 8.745 Å; angles 117.39, 94.42, 94.42 degrees
Atoms (fractional coordinates):
1 Pm 0.750 0.022 0.978
2 Dy 0.441 0.257 0.879
3 Th 0.750 0.595 0.405
4 Th 0.250 0.405 0.595
5 Dy 0.881 0.299 0.507
6 Dy 0.559 0.743 0.121
7 Pm 0.250 0.978 0.022
8 Tb 0.455 0.809 0.708
9 Dy 0.184 0.572 0.024
10 Tb 0.955 0.708 0.809
11 Dy 0.816 0.428 0.976
12 Dy 0.381 0.507 0.299
13 Dy 0.684 0.024 0.572
14 Dy 0.059 0.121 0.743
15 Tb 0.045 0.292 0.191
16 Dy 0.941 0.879 0.257
17 Dy 0.119 0.701 0.493
18 Tb 0.545 0.191 0.292
19 Dy 0.316 0.976 0.428
20 Dy 0.619 0.493 0.701

Values from the calculation:
Final energy in eV per cell: -95.16
Density of states at the Fermi level in states/eV per atom: 1.544

=====

No. 15
Crystalline Tb3PmDyTh at its relaxed geometry. Source: the Alexandria database, functional PBE.

Cell lengths 5.640, 10.450, 6.942 Å; angles 88.38, 90.00, 105.66 degrees
Atoms (fractional coordinates):
1 Tb 0.780 0.559 0.757
2 Tb 0.840 0.680 0.258
3 Pm 0.645 0.289 0.041
4 Tb 0.479 0.957 0.253
5 Dy 0.349 0.698 0.527
6 Pm 0.355 0.711 0.959
7 Th 0.943 0.886 0.717
8 Dy 0.651 0.302 0.473
9 Tb 0.220 0.441 0.243
10 Th 0.057 0.114 0.283
11 Tb 0.160 0.320 0.742
12 Tb 0.521 0.043 0.747

Values from the calculation:
Final energy in eV per cell: -58.76
Density of states at the Fermi level in states/eV per atom: 1.373

=====

No. 16
Crystalline Tb3Pm6DyTh2 at its relaxed geometry. Source: the Alexandria database, functional PBE.

Cell lengths 6.241, 6.241, 11.994 Å; angles 94.99, 94.99, 119.92 degrees
Atoms (fractional coordinates):
1 Th 0.667 0.333 0.000
2 Tb 0.500 0.500 0.500
3 Pm 0.917 0.581 0.752
4 Pm 0.083 0.419 0.248
5 Pm 0.581 0.917 0.752
6 Pm 0.746 0.746 0.248
7 Tb 0.167 0.833 0.500
8 Tb 0.833 0.167 0.500
9 Pm 0.419 0.083 0.248
10 Pm 0.254 0.254 0.752
11 Dy 0.000 0.000 0.000
12 Th 0.333 0.667 0.000

Values from the calculation:
Final energy in eV per cell: -61.42
Density of states at the Fermi level in states/eV per atom: 1.473

=====

No. 17
Crystalline TbPm4Dy2Th at its relaxed geometry. Source: the Alexandria database, functional PBE.

Cell lengths 5.624, 6.496, 16.685 Å; angles 90.00, 90.00, 115.65 degrees
Atoms (fractional coordinates):
1 Tb 0.806 0.612 0.250
2 Th 0.889 0.777 0.750
3 Dy 0.396 0.793 0.893
4 Dy 0.604 0.207 0.107
5 Pm 0.708 0.415 0.575
6 Pm 0.000 0.000 0.000
7 Pm 0.000 0.000 0.500
8 Pm 0.586 0.171 0.750
9 Tb 0.194 0.388 0.750
10 Pm 0.708 0.415 0.925
11 Th 0.111 0.223 0.250
12 Pm 0.414 0.829 0.250
13 Dy 0.604 0.207 0.393
14 Pm 0.292 0.585 0.075
15 Dy 0.396 0.793 0.607
16 Pm 0.292 0.585 0.425

Values from the calculation:
Final energy in eV per cell: -76.62
Density of states at the Fermi level in states/eV per atom: 1.337

=====

No. 18
Crystalline TbPm3Dy6Th2 at its relaxed geometry. Source: the Alexandria database, functional PBE.

Cell lengths 6.204, 6.204, 11.796 Å; angles 95.04, 95.04, 119.96 degrees
Atoms (fractional coordinates):
1 Pm 0.166 0.834 0.500
2 Dy 0.256 0.256 0.754
3 Dy 0.918 0.581 0.754
4 Dy 0.419 0.082 0.246
5 Pm 0.500 0.500 0.500
6 Tb 0.000 0.000 0.000
7 Pm 0.834 0.166 0.500
8 Dy 0.744 0.744 0.246
9 Th 0.667 0.333 0.000
10 Dy 0.082 0.419 0.246
11 Dy 0.581 0.918 0.754
12 Th 0.333 0.667 0.000

Values from the calculation:
Final energy in eV per cell: -61.10
Density of states at the Fermi level in states/eV per atom: 1.320

=====

No. 19
Crystalline Tb2Pm6DyTh at its relaxed geometry. Source: the Alexandria database, functional PBE.

Cell lengths 9.767, 8.838, 8.838 Å; angles 116.58, 94.27, 94.27 degrees
Atoms (fractional coordinates):
1 Pm 0.619 0.488 0.703
2 Dy 0.250 0.408 0.592
3 Th 0.750 0.027 0.973
4 Tb 0.549 0.199 0.291
5 Pm 0.443 0.244 0.889
6 Pm 0.057 0.111 0.756
7 Pm 0.557 0.756 0.111
8 Pm 0.119 0.703 0.488
9 Pm 0.813 0.425 0.988
10 Th 0.250 0.973 0.027
11 Pm 0.187 0.575 0.012
12 Pm 0.943 0.889 0.244
13 Tb 0.951 0.709 0.801
14 Pm 0.687 0.012 0.575
15 Pm 0.313 0.988 0.425
16 Pm 0.381 0.512 0.297
17 Tb 0.451 0.801 0.709
18 Tb 0.049 0.291 0.199
19 Dy 0.750 0.592 0.408
20 Pm 0.881 0.297 0.512

Values from the calculation:
Final energy in eV per cell: -96.67
Density of states at the Fermi level in states/eV per atom: 1.427